Entry 1:
# CrRePO2

A relaxed CrRePO2 crystal (GGA+U, Alexandria).

Values from the calculation:
The electronic total energy is -7.01 eV per atom. For the density of states at the Fermi level, the calculation gives 0.643 states/eV/atom.

Lattice parameters (Å, degrees): 3.5771 3.5771 6.0297 90.00 90.00 90.00
Positions (direct):
1 Cr 0.0000 0.0000 0.0000
2 Re 0.5000 0.5000 0.5000
3 P 0.0000 0.0000 0.5000
4 O 0.0000 0.5000 0.0000
5 O 0.5000 0.0000 0.0000


Entry 2:
# CrRePO2

A relaxed CrRePO2 crystal (GGA+U, Alexandria).

Values from the calculation:
The electronic total energy is -7.78 eV per atom. For the density of states at the Fermi level, the calculation gives 0.410 states/eV/atom.

Lattice parameters (Å, degrees): 3.7809 3.7809 5.1580 90.00 90.00 90.00
Positions (direct):
1 Cr 0.0000 0.0000 0.0000
2 Re 0.5000 0.5000 0.5000
3 P 0.5000 0.5000 0.0000
4 O 0.0000 0.5000 0.5000
5 O 0.5000 0.0000 0.5000